Material: LaMoSe2
Method: DFT, GGA-PBEsol
State: relaxed

Energy relative to the elements, uncorrected ... -328 meV per atom
SG ... I-4m2 (119)
Calculated volume ... 91 Å³ per cell
DOS at the Fermi energy ... 2.4 states/eV/f.u.

Lattice parameters (Å, degrees): 6.1643 6.1643 6.1643 141.34 141.34 55.82
Atoms (fractional coordinates):
La (0.0000, 0.0000, 0.0000)
Mo (0.7500, 0.2500, 0.5000)
Se (0.2500, 0.7500, 0.5000)
Se (0.5000, 0.5000, 0.0000)



Material: Rb3NbRu
Method: DFT, GGA-PBEsol
State: relaxed

SG ... Pm-3m (221)
Calculated volume ... 209 Å³ per cell
Energy of formation ... 10.55 eV/f.u.
DOS at the Fermi energy ... 12.9 states/eV/f.u.

Lattice parameters (Å, degrees): 5.9347 5.9347 5.9347 90.00 90.00 90.00
Atoms (fractional coordinates):
Rb (0.0000, 0.0000, 0.5000)
Rb (0.0000, 0.5000, 0.0000)
Rb (0.5000, 0.0000, 0.0000)
Nb (0.5000, 0.5000, 0.5000)
Ru (0.0000, 0.0000, 0.0000)



Material: MgBe2Hg
Method: DFT, GGA-PBEsol
State: relaxed

SG ... P4/mmm (123)
Calculated volume ... 57 Å³ per cell
Energy of formation ... 1.22 eV/f.u.
DOS at the Fermi energy ... 1.1 states/eV/f.u.

Lattice parameters (Å, degrees): 3.9204 3.9204 3.6902 90.00 90.00 90.00
Atoms (fractional coordinates):
Mg (0.0000, 0.0000, 0.0000)
Be (0.0000, 0.5000, 0.5000)
Be (0.5000, 0.0000, 0.5000)
Hg (0.5000, 0.5000, 0.0000)



Material: MgFeBr2
Method: DFT, GGA-PBEsol
State: relaxed

Energy relative to the elements, uncorrected ... 25 meV per atom
SG ... R-3m (166)
Calculated volume ... 92 Å³ per cell
DOS at the Fermi energy ... 1.5 states/eV/f.u.

Lattice parameters (Å, degrees): 9.0182 9.0182 9.0182 22.18 22.18 22.18
Atoms (fractional coordinates):
Mg (0.0000, 0.0000, 0.0000)
Fe (0.5000, 0.5000, 0.5000)
Br (0.2164, 0.2164, 0.2164)
Br (0.7836, 0.7836, 0.7836)



Material: Sc2BiP2
Method: DFT, GGA-PBEsol
State: relaxed

SG ... I4/mmm (139)
Calculated volume ... 101 Å³ per cell
Energy of formation ... -4.36 eV/f.u.
DOS at the Fermi energy ... 3.4 states/eV/f.u.

Lattice parameters (Å, degrees): 5.4617 5.4617 5.4617 126.71 126.71 78.73
Atoms (fractional coordinates):
Sc (0.2500, 0.7500, 0.5000)
Sc (0.7500, 0.2500, 0.5000)
Bi (0.0000, 0.0000, 0.0000)
P (0.3671, 0.3671, 0.0000)
P (0.6329, 0.6329, 0.0000)



Material: BaCa2Be
Method: DFT, GGA-PBEsol
State: relaxed

SG ... I-4m2 (119)
Calculated volume ... 131 Å³ per cell
Energy of formation ... 1.69 eV/f.u.
DOS at the Fermi energy ... 2.5 states/eV/f.u.

Lattice parameters (Å, degrees): 5.6982 5.6982 5.6982 119.87 119.87 90.23
Atoms (fractional coordinates):
Ba (0.0000, 0.0000, 0.0000)
Ca (0.2500, 0.7500, 0.5000)
Ca (0.5000, 0.5000, 0.0000)
Be (0.7500, 0.2500, 0.5000)



Material: LiY2PtC
Method: DFT, GGA-PBEsol
State: relaxed

SG ... P4/mmm (123)
Calculated volume ... 117 Å³ per cell
Energy of formation ... 3.73 eV/f.u.
DOS at the Fermi energy ... 3.4 states/eV/f.u.

Lattice parameters (Å, degrees): 5.2059 5.2059 4.3250 90.00 90.00 90.00
Atoms (fractional coordinates):
Li (0.0000, 0.0000, 0.0000)
Y (0.0000, 0.5000, 0.5000)
Y (0.5000, 0.0000, 0.5000)
Pt (0.0000, 0.0000, 0.5000)
C (0.5000, 0.5000, 0.0000)



Material: BiAsRuBr2
Method: DFT, GGA-PBEsol
State: relaxed

Energy relative to the elements, uncorrected ... 1337 meV per atom
SG ... P4/mmm (123)
Calculated volume ... 167 Å³ per cell
DOS at the Fermi energy ... 9.0 states/eV/f.u.

Lattice parameters (Å, degrees): 5.4511 5.4511 5.6262 90.00 90.00 90.00
Atoms (fractional coordinates):
Bi (0.0000, 0.0000, 0.0000)
As (0.0000, 0.0000, 0.5000)
Ru (0.5000, 0.5000, 0.5000)
Br (0.0000, 0.5000, 0.0000)
Br (0.5000, 0.0000, 0.0000)



Question: What is the formula in the fifth record?
Answer: Sc2BiP2